Density functional theory data (PBE-GGA) for a relaxed MgTeOs2 crystal.

Properties
SG: No. 12
E_form (uncorrected): 530 meV/atom
Spin magnetization: 0.00 μB per atom
Energy relative to the lowest polymorph listed for this composition: 25.3 kJ/mol of atoms

a b c (Å): 4.726 4.726 5.000
angles (deg): 80.00 80.00 37.65
Positions (direct):
Os 0.495 0.495 0.486
Os 0.005 0.005 0.014
Mg 0.250 0.250 0.250
Te 0.750 0.750 0.750